Entry from Alexandria: crystalline Dy4MgPd5 at its relaxed geometry (PBE-GGA).

```
Dy4MgPd5
1.0
3.443 0.000 0.000
0.000 3.443 0.000
0.000 0.000 17.329
Dy Mg Pd
4 1 5
Cartesian
0.000 0.000 1.807
0.000 0.000 5.425
0.000 0.000 11.905
0.000 0.000 15.522
0.000 0.000 8.665
1.721 1.721 0.000
1.721 1.721 3.609
1.721 1.721 7.161
1.721 1.721 10.169
1.721 1.721 13.721
```

Computed properties:
The energy of formation from the pure elements comes out at -0.845 eV/atom. Its total moment is 0.0 μB per formula unit. The value obtained for the final energy is -5.442 eV/atom. Its space group is No. 123.

=====

Entry from Alexandria: crystalline Dy2Mg3Pd4 at its relaxed geometry (PBE-GGA).

```
Dy2Mg3Pd4
1.0
4.086 -2.362 0.000
4.086 2.362 0.000
-0.016 0.000 9.114
Dy Mg Pd
2 3 4
Cartesian
1.350 0.000 2.617
6.807 0.000 6.496
1.352 0.000 8.378
4.078 0.000 4.557
6.805 0.000 0.735
1.359 0.000 5.507
4.077 0.000 1.386
4.080 0.000 7.728
6.798 0.000 3.606
```

Computed properties:
The energy of formation from the pure elements comes out at -0.695 eV/atom. Its total moment is 0.0 μB per formula unit. The value obtained for the final energy is -4.557 eV/atom. Its excess energy over the best structure of this formula in the dataset is 6 meV/atom. Its space group is No. 12.

=====

Entry from Alexandria: crystalline Dy2MgPd at its relaxed geometry (PBE-GGA).

```
Dy2MgPd
1.0
0.000 3.628 3.628
3.628 0.000 3.628
3.628 3.628 0.000
Dy Mg Pd
2 1 1
Cartesian
1.814 1.814 1.814
5.441 5.441 5.441
0.000 0.000 0.000
3.628 3.628 3.628
```

Computed properties:
The energy of formation from the pure elements comes out at -0.402 eV/atom. Its total moment is 0.0 μB per formula unit. The value obtained for the final energy is -4.400 eV/atom. Its excess energy over the best structure of this formula in the dataset is 80 meV/atom. Its space group is No. 225.

=====

- Which of these has the lowest final energy?
  Dy4MgPd5